A plane-wave DFT calculation with PBEsol was carried out for an optimized crystal structure of ZnAgAsO5.

Values from the calculation:
Formation energy from raw total energies: -816 meV per atom
Final energy: -42.8 eV/f.u.

```
ZnAgAsO5
1.0
6.198 0.000 0.000
0.000 7.943 0.000
0.000 0.000 8.901
O Ag Zn As
20 4 4 4
Cartesian
1.388 7.141 2.201 O
1.714 4.776 6.700 O
6.198 2.755 5.483 O
0.000 6.727 7.869 O
1.710 0.801 6.651 O
6.198 0.666 4.080 O
0.000 4.637 0.371 O
3.093 2.147 8.724 O
3.104 6.118 4.628 O
4.484 0.804 6.651 O
3.099 7.277 8.530 O
6.192 1.824 0.177 O
3.099 5.187 1.032 O
1.385 3.167 2.250 O
3.099 1.216 3.418 O
4.809 3.170 2.250 O
4.487 4.772 6.700 O
0.005 5.795 4.273 O
4.813 7.138 2.201 O
3.099 3.305 4.822 O
1.549 1.985 4.451 Ag
4.648 1.986 4.450 Ag
1.549 5.957 0.000 Ag
4.648 5.957 8.901 Ag
6.197 1.612 7.186 Zn
0.001 5.583 6.165 Zn
3.098 2.359 1.715 Zn
3.100 6.330 2.736 Zn
3.097 0.861 7.636 As
3.101 4.832 5.715 As
0.002 7.082 3.186 As
6.196 3.110 1.265 As
```

A plane-wave DFT calculation with PBEsol was carried out for an optimized crystal structure of Ag2AsOs.

Values from the calculation:
Energy relative to the elements: 0.556 eV/atom
Final energy: -21.7 eV/f.u.

```
Ag2AsOs
1.0
-2.792 -0.969 -0.647
1.614 -2.647 -2.998
0.440 -3.473 3.303
Ag Os As
2 1 1
Cartesian
0.000 0.000 0.000 Ag
-0.589 -1.808 -1.823 Ag
1.027 -3.060 0.153 Os
-1.176 -2.221 1.328 As
```

Please write out number 2 again, unchanged.
A plane-wave DFT calculation with PBEsol was carried out for an optimized crystal structure of Ag2AsOs.

Values from the calculation:
Energy relative to the elements: 0.556 eV/atom
Final energy: -21.7 eV/f.u.

```
Ag2AsOs
1.0
-2.792 -0.969 -0.647
1.614 -2.647 -2.998
0.440 -3.473 3.303
Ag Os As
2 1 1
Cartesian
0.000 0.000 0.000 Ag
-0.589 -1.808 -1.823 Ag
1.027 -3.060 0.153 Os
-1.176 -2.221 1.328 As
```

Question: The highest final energy belongs to which entry?
Answer: Ag2AsOs